(1)
# KLiSn | Alexandria via LeMat-Bulk | PBE | optimized geometry
data_KLiSn
_chemical_formula_sum 'K4 Li4 Sn4'
_space_group_name_H-M_alt 'P 1'
_space_group_IT_number 1
_space_group_name_Hall 'P 1'
_cell_length_a 7.007
_cell_length_b 4.868
_cell_length_c 13.073
_cell_angle_alpha 90.00
_cell_angle_beta 115.65
_cell_angle_gamma 90.00
loop_
_atom_site_label
_atom_site_type_symbol
_atom_site_fract_x
_atom_site_fract_y
_atom_site_fract_z
_atom_site_occupancy
K1 K 0.419 0.000 0.198 1
K2 K 0.419 0.500 0.698 1
K3 K 0.012 0.000 0.414 1
K4 K 0.012 0.500 0.914 1
Li1 Li 0.394 0.000 0.902 1
Li2 Li 0.394 0.500 0.402 1
Li3 Li 0.818 0.000 0.088 1
Li4 Li 0.818 0.500 0.588 1
Sn1 Sn 0.592 0.000 0.521 1
Sn2 Sn 0.592 0.500 0.021 1
Sn3 Sn 0.003 0.000 0.703 1
Sn4 Sn 0.003 0.500 0.203 1
# formation energy: -221.5 meV per atom
# energy above the most stable polymorph in this dataset: 66 meV/atom
# space-group type: No. 8
# DFT total energy: -0.1881 Ry per atom

=====

(2)
# K3Li3Sn8 | Alexandria via LeMat-Bulk | PBE | optimized geometry
data_K3Li3Sn8
_chemical_formula_sum 'K3 Li3 Sn8'
_space_group_name_H-M_alt 'P 1'
_space_group_IT_number 1
_space_group_name_Hall 'P 1'
_cell_length_a 4.814
_cell_length_b 9.601
_cell_length_c 9.601
_cell_angle_alpha 74.49
_cell_angle_beta 75.48
_cell_angle_gamma 75.48
loop_
_atom_site_label
_atom_site_type_symbol
_atom_site_fract_x
_atom_site_fract_y
_atom_site_fract_z
_atom_site_occupancy
K1 K 0.500 0.500 0.500 1
K2 K 0.795 0.205 0.205 1
K3 K 0.205 0.795 0.795 1
Li1 Li 0.500 0.000 0.000 1
Li2 Li 0.000 0.799 0.201 1
Li3 Li 0.000 0.201 0.799 1
Sn1 Sn 0.627 0.073 0.673 1
Sn2 Sn 0.373 0.927 0.327 1
Sn3 Sn 0.627 0.673 0.073 1
Sn4 Sn 0.373 0.327 0.927 1
Sn5 Sn 0.838 0.810 0.515 1
Sn6 Sn 0.162 0.190 0.485 1
Sn7 Sn 0.838 0.515 0.810 1
Sn8 Sn 0.162 0.485 0.190 1
# formation energy: -215.6 meV per atom
# space-group type: No. 71
# DFT total energy: -0.2314 Ry per atom

=====

(3)
# KLi2Sn | Alexandria via LeMat-Bulk | PBE | optimized geometry
data_KLi2Sn
_chemical_formula_sum 'K1 Li2 Sn1'
_space_group_name_H-M_alt 'P 1'
_space_group_IT_number 1
_space_group_name_Hall 'P 1'
_cell_length_a 4.840
_cell_length_b 4.840
_cell_length_c 6.556
_cell_angle_alpha 68.34
_cell_angle_beta 68.34
_cell_angle_gamma 60.00
loop_
_atom_site_label
_atom_site_type_symbol
_atom_site_fract_x
_atom_site_fract_y
_atom_site_fract_z
_atom_site_occupancy
K1 K 0.500 0.500 0.500 1
Sn1 Sn 0.000 0.000 0.000 1
Li1 Li 0.310 0.310 0.071 1
Li2 Li 0.690 0.690 0.929 1
# formation energy: -207.5 meV per atom
# space-group type: No. 166
# DFT total energy: -0.1793 Ry per atom

=====

(4)
# KLiSn2 | Alexandria via LeMat-Bulk | PBE | optimized geometry
data_KLiSn2
_chemical_formula_sum 'K1 Li1 Sn2'
_space_group_name_H-M_alt 'P 1'
_space_group_IT_number 1
_space_group_name_Hall 'P 1'
_cell_length_a 4.688
_cell_length_b 4.688
_cell_length_c 7.243
_cell_angle_alpha 71.12
_cell_angle_beta 71.12
_cell_angle_gamma 60.00
loop_
_atom_site_label
_atom_site_type_symbol
_atom_site_fract_x
_atom_site_fract_y
_atom_site_fract_z
_atom_site_occupancy
K1 K 0.496 0.496 0.512 1
Li1 Li 0.684 0.684 0.949 1
Sn1 Sn 0.032 0.032 0.904 1
Sn2 Sn 0.288 0.288 0.135 1
# formation energy: -256.7 meV per atom
# energy above the most stable polymorph in this dataset: 6 meV/atom
# space-group type: No. 160
# DFT total energy: -0.2213 Ry per atom

=====

(5)
# K2LiSn | Alexandria via LeMat-Bulk | PBE | optimized geometry
data_K2LiSn
_chemical_formula_sum 'K4 Li2 Sn2'
_space_group_name_H-M_alt 'P 1'
_space_group_IT_number 1
_space_group_name_Hall 'P 1'
_cell_length_a 11.764
_cell_length_b 11.764
_cell_length_c 8.722
_cell_angle_alpha 47.59
_cell_angle_beta 47.59
_cell_angle_gamma 90.00
loop_
_atom_site_label
_atom_site_type_symbol
_atom_site_fract_x
_atom_site_fract_y
_atom_site_fract_z
_atom_site_occupancy
K1 K 0.480 0.125 0.250 1
K2 K 0.270 0.625 0.250 1
K3 K 0.375 0.520 0.750 1
K4 K 0.875 0.730 0.750 1
Sn1 Sn 0.000 0.000 0.000 1
Sn2 Sn 0.750 0.250 0.500 1
Li1 Li 0.500 0.500 0.000 1
Li2 Li 0.250 0.750 0.500 1
# formation energy: 46.4 meV per atom
# space-group type: No. 122
# DFT total energy: -0.1456 Ry per atom

=====

(6)
# KLiSn | Alexandria via LeMat-Bulk | PBE | optimized geometry
data_KLiSn
_chemical_formula_sum 'K2 Li2 Sn2'
_space_group_name_H-M_alt 'P 1'
_space_group_IT_number 1
_space_group_name_Hall 'P 1'
_cell_length_a 5.676
_cell_length_b 5.044
_cell_length_c 6.620
_cell_angle_alpha 90.00
_cell_angle_beta 107.12
_cell_angle_gamma 90.00
loop_
_atom_site_label
_atom_site_type_symbol
_atom_site_fract_x
_atom_site_fract_y
_atom_site_fract_z
_atom_site_occupancy
K1 K 0.771 0.250 0.989 1
K2 K 0.229 0.750 0.011 1
Li1 Li 0.616 0.250 0.474 1
Li2 Li 0.384 0.750 0.526 1
Sn1 Sn 0.157 0.250 0.585 1
Sn2 Sn 0.843 0.750 0.415 1
# formation energy: -227.6 meV per atom
# energy above the most stable polymorph in this dataset: 60 meV/atom
# space-group type: No. 11
# DFT total energy: -0.1886 Ry per atom

=====

(7)
# KLiSn | Alexandria via LeMat-Bulk | PBE | optimized geometry
data_KLiSn
_chemical_formula_sum 'K4 Li4 Sn4'
_space_group_name_H-M_alt 'P 1'
_space_group_IT_number 1
_space_group_name_Hall 'P 1'
_cell_length_a 4.893
_cell_length_b 13.062
_cell_length_c 5.775
_cell_angle_alpha 90.00
_cell_angle_beta 90.00
_cell_angle_gamma 90.00
loop_
_atom_site_label
_atom_site_type_symbol
_atom_site_fract_x
_atom_site_fract_y
_atom_site_fract_z
_atom_site_occupancy
K1 K 0.000 0.276 0.250 1
K2 K 0.000 0.724 0.750 1
K3 K 0.500 0.776 0.250 1
K4 K 0.500 0.224 0.750 1
Li1 Li 0.000 0.000 0.000 1
Li2 Li 0.000 0.000 0.500 1
Li3 Li 0.500 0.500 0.000 1
Li4 Li 0.500 0.500 0.500 1
Sn1 Sn 0.000 0.556 0.250 1
Sn2 Sn 0.000 0.444 0.750 1
Sn3 Sn 0.500 0.056 0.250 1
Sn4 Sn 0.500 0.944 0.750 1
# formation energy: -251.0 meV per atom
# energy above the most stable polymorph in this dataset: 37 meV/atom
# space-group type: No. 63
# DFT total energy: -0.1903 Ry per atom

=====

(8)
# KLi3Sn | Alexandria via LeMat-Bulk | PBE | optimized geometry
data_KLi3Sn
_chemical_formula_sum 'K1 Li3 Sn1'
_space_group_name_H-M_alt 'P 1'
_space_group_IT_number 1
_space_group_name_Hall 'P 1'
_cell_length_a 5.106
_cell_length_b 5.106
_cell_length_c 5.106
_cell_angle_alpha 90.00
_cell_angle_beta 90.00
_cell_angle_gamma 90.00
loop_
_atom_site_label
_atom_site_type_symbol
_atom_site_fract_x
_atom_site_fract_y
_atom_site_fract_z
_atom_site_occupancy
K1 K 0.000 0.000 0.000 1
Sn1 Sn 0.500 0.500 0.500 1
Li1 Li 0.000 0.500 0.000 1
Li2 Li 0.000 0.000 0.500 1
Li3 Li 0.500 0.000 0.000 1
# formation energy: 576.7 meV per atom
# energy above the most stable polymorph in this dataset: 775 meV/atom
# space-group type: No. 221
# DFT total energy: -0.1170 Ry per atom

=====

(9)
# KLiSn | Alexandria via LeMat-Bulk | PBE | optimized geometry
data_KLiSn
_chemical_formula_sum 'K4 Li4 Sn4'
_space_group_name_H-M_alt 'P 1'
_space_group_IT_number 1
_space_group_name_Hall 'P 1'
_cell_length_a 4.987
_cell_length_b 4.987
_cell_length_c 15.853
_cell_angle_alpha 90.00
_cell_angle_beta 90.00
_cell_angle_gamma 90.00
loop_
_atom_site_label
_atom_site_type_symbol
_atom_site_fract_x
_atom_site_fract_y
_atom_site_fract_z
_atom_site_occupancy
K1 K 0.000 0.000 0.175 1
K2 K 0.000 0.000 0.825 1
K3 K 0.500 0.500 0.675 1
K4 K 0.500 0.500 0.325 1
Li1 Li 0.000 0.500 0.000 1
Li2 Li 0.500 0.000 0.000 1
Li3 Li 0.500 0.000 0.500 1
Li4 Li 0.000 0.500 0.500 1
Sn1 Sn 0.000 0.000 0.409 1
Sn2 Sn 0.000 0.000 0.591 1
Sn3 Sn 0.500 0.500 0.909 1
Sn4 Sn 0.500 0.500 0.091 1
# formation energy: -287.6 meV per atom
# energy above the most stable polymorph in this dataset: 0 meV/atom
# space-group type: No. 139
# DFT total energy: -0.1930 Ry per atom

=====

(10)
# KLi2Sn | Alexandria via LeMat-Bulk | PBE | optimized geometry
data_KLi2Sn
_chemical_formula_sum 'K1 Li2 Sn1'
_space_group_name_H-M_alt 'P 1'
_space_group_IT_number 1
_space_group_name_Hall 'P 1'
_cell_length_a 4.862
_cell_length_b 4.862
_cell_length_c 6.881
_cell_angle_alpha 69.31
_cell_angle_beta 69.31
_cell_angle_gamma 60.00
loop_
_atom_site_label
_atom_site_type_symbol
_atom_site_fract_x
_atom_site_fract_y
_atom_site_fract_z
_atom_site_occupancy
K1 K 0.492 0.492 0.525 1
Li1 Li 0.010 0.010 0.971 1
Li2 Li 0.316 0.316 0.053 1
Sn1 Sn 0.683 0.683 0.951 1
# formation energy: -191.3 meV per atom
# space-group type: No. 160
# DFT total energy: -0.1781 Ry per atom

=====

(11)
# KLiSn | Alexandria via LeMat-Bulk | PBE | optimized geometry
data_KLiSn
_chemical_formula_sum 'K2 Li2 Sn2'
_space_group_name_H-M_alt 'P 1'
_space_group_IT_number 1
_space_group_name_Hall 'P 1'
_cell_length_a 5.489
_cell_length_b 4.673
_cell_length_c 7.418
_cell_angle_alpha 90.00
_cell_angle_beta 95.54
_cell_angle_gamma 90.00
loop_
_atom_site_label
_atom_site_type_symbol
_atom_site_fract_x
_atom_site_fract_y
_atom_site_fract_z
_atom_site_occupancy
K1 K 0.752 0.250 0.132 1
K2 K 0.248 0.750 0.868 1
Li1 Li 0.135 0.250 0.534 1
Li2 Li 0.865 0.750 0.466 1
Sn1 Sn 0.629 0.250 0.618 1
Sn2 Sn 0.371 0.750 0.382 1
# formation energy: -249.4 meV per atom
# energy above the most stable polymorph in this dataset: 38 meV/atom
# space-group type: No. 11
# DFT total energy: -0.1902 Ry per atom

=====

(12)
# KLi3Sn | Alexandria via LeMat-Bulk | PBE | optimized geometry
data_KLi3Sn
_chemical_formula_sum 'K1 Li3 Sn1'
_space_group_name_H-M_alt 'P 1'
_space_group_IT_number 1
_space_group_name_Hall 'P 1'
_cell_length_a 5.342
_cell_length_b 5.342
_cell_length_c 5.342
_cell_angle_alpha 90.00
_cell_angle_beta 90.00
_cell_angle_gamma 90.00
loop_
_atom_site_label
_atom_site_type_symbol
_atom_site_fract_x
_atom_site_fract_y
_atom_site_fract_z
_atom_site_occupancy
K1 K 0.500 0.500 0.500 1
Sn1 Sn 0.000 0.000 0.000 1
Li1 Li 0.000 0.500 0.000 1
Li2 Li 0.000 0.000 0.500 1
Li3 Li 0.500 0.000 0.000 1
# formation energy: -198.4 meV per atom
# energy above the most stable polymorph in this dataset: 0 meV/atom
# space-group type: No. 221
# DFT total energy: -0.1740 Ry per atom

=====

(13)
# KLiSn3 | Alexandria via LeMat-Bulk | PBE | optimized geometry
data_KLiSn3
_chemical_formula_sum 'K1 Li1 Sn3'
_space_group_name_H-M_alt 'P 1'
_space_group_IT_number 1
_space_group_name_Hall 'P 1'
_cell_length_a 5.237
_cell_length_b 5.237
_cell_length_c 5.237
_cell_angle_alpha 90.00
_cell_angle_beta 90.00
_cell_angle_gamma 90.00
loop_
_atom_site_label
_atom_site_type_symbol
_atom_site_fract_x
_atom_site_fract_y
_atom_site_fract_z
_atom_site_occupancy
K1 K 0.500 0.500 0.500 1
Sn1 Sn 0.000 0.500 0.000 1
Sn2 Sn 0.000 0.000 0.500 1
Sn3 Sn 0.500 0.000 0.000 1
Li1 Li 0.000 0.000 0.000 1
# formation energy: 11.6 meV per atom
# energy above the most stable polymorph in this dataset: 197 meV/atom
# space-group type: No. 221
# DFT total energy: -0.2199 Ry per atom